Pa6SiAs3P2 | PBE-GGA | relaxed

a = 17.682 Å, b = 4.042 Å, c = 8.117 Å
α = 90.00°, β = 103.61°, γ = 90.00°
Space group C2/m (No. 12)
One atom of each set of equivalent atoms:
Pa (0.004, 0.000, 0.247) [4 per cell]
Pa (0.166, 0.500, 0.092) [4 per cell]
Pa (0.169, 0.500, 0.576) [4 per cell]
Si (0.000, 0.500, 0.000) [2 per cell]
As (0.000, 0.500, 0.500) [2 per cell]
As (0.166, 0.000, 0.833) [4 per cell]
P (0.167, 0.000, 0.334) [4 per cell]

energy: -199.42 eV for the cell shown
calculated density: 10.0 g/cm3

---

Pa4SiAs2P | PBE-GGA | relaxed

a = 7.020 Å, b = 4.057 Å, c = 7.048 Å
α = 90.00°, β = 109.42°, γ = 90.00°
Space group P2/m (No. 10)
One atom of each set of equivalent atoms:
Pa (0.244, 0.000, 0.239) [2 per cell]
Pa (0.251, 0.500, 0.759) [2 per cell]
Si (0.500, 0.000, 0.000) [1 per cell]
As (0.000, 0.000, 0.500) [1 per cell]
As (0.500, 0.500, 0.500) [1 per cell]
P (0.000, 0.500, 0.000) [1 per cell]

energy: -65.86 eV for the cell shown
calculated density: 9.9 g/cm3

---

Calculated DOS at the Fermi energy in order - 1.0534; 1.0490 states/eV/atom